! NaAc4Cr3O12 PBE with a Hubbard U optimized geometry; values from VASP
&SYSTEM
  ibrav = 0, nat = 20, ntyp = 4
/
ATOMIC_SPECIES
O 16.00 O.upf
Ac 227.00 Ac.upf
Na 22.99 Na.upf
Cr 52.00 Cr.upf
ATOMIC_POSITIONS crystal
O 0.150 0.491 0.341
O 0.809 0.659 0.150
O 0.850 0.191 0.341
O 0.850 0.509 0.659
O 0.191 0.341 0.850
O 0.150 0.809 0.659
O 0.341 0.150 0.491
O 0.659 0.850 0.509
O 0.659 0.150 0.809
O 0.509 0.659 0.850
O 0.491 0.341 0.150
O 0.341 0.850 0.191
Ac 0.000 0.000 0.500
Ac 0.500 0.500 0.500
Ac 0.500 0.000 0.000
Ac 0.000 0.500 0.000
Na 0.000 0.000 0.000
Cr 0.500 0.500 0.000
Cr 0.000 0.500 0.500
Cr 0.500 0.000 0.500
CELL_PARAMETERS angstrom
7.581 0.000 0.000
-2.527 7.148 0.000
-2.527 -3.574 6.190
! raw total energy = -7.236 eV per atom
! crystal system = cubic
! symmetry = Im-3, No. 204